A plane-wave DFT calculation with GGA-PBE was carried out for LiCd7Pd4 after structural relaxation.

abc: 6.9604 6.9604 9.7978
angles: 124.80 124.80 40.56
Element x y z (fractional)
Li  0.0000  0.0000  0.0000
Cd  0.0698  0.0698  0.3364
Cd  0.2157  0.2157  0.8608
Cd  0.3408  0.3408  0.4015
Cd  0.5000  0.5000  0.0000
Cd  0.6592  0.6592  0.5985
Cd  0.7843  0.7843  0.1392
Cd  0.9302  0.9302  0.6636
Pd  0.3046  0.3046  0.6571
Pd  0.4307  0.4307  0.2130
Pd  0.5693  0.5693  0.7870
Pd  0.6954  0.6954  0.3429

Calculated values
formation energy: -0.2254 eV per atom
ρ: 8.27 g cm⁻³
calculated total energy: -2.65 eV per atom
density of states at the Fermi level: 4.7 states/eV per cell


A plane-wave DFT calculation with GGA-PBE was carried out for LiCd2Pd6 after structural relaxation.

abc: 8.0463 8.0463 2.8148
angles: 99.67 99.67 57.47
Element x y z (fractional)
Li  0.0000  0.0000  0.0000
Cd  0.3401  0.3401  0.3447
Cd  0.6599  0.6599  0.6553
Pd  0.0183  0.6495  0.8372
Pd  0.2838  0.7162  0.5000
Pd  0.3505  0.9817  0.1628
Pd  0.6495  0.0183  0.8372
Pd  0.7162  0.2838  0.5000
Pd  0.9817  0.3505  0.1628

Calculated values
formation energy: -0.1888 eV per atom
energy above the most stable polymorph in this dataset: 1.21 eV/f.u.
ρ: 9.58 g cm⁻³
calculated total energy: -4.07 eV per atom
density of states at the Fermi level: 5.3 states/eV per cell


A plane-wave DFT calculation with GGA-PBE was carried out for Li6Cd3Pd after structural relaxation.

abc: 6.5630 6.5630 6.5630
angles: 113.04 113.04 113.04
Element x y z (fractional)
Li  0.0804  0.0804  0.8391
Li  0.0804  0.8391  0.0804
Li  0.2699  0.2699  0.6240
Li  0.2699  0.6240  0.2699
Li  0.6240  0.2699  0.2699
Li  0.8391  0.0804  0.0804
Cd  0.2311  0.7048  0.7048
Cd  0.7048  0.2311  0.7048
Cd  0.7048  0.7048  0.2311
Pd  0.5831  0.5831  0.5831

Calculated values
formation energy: -0.1360 eV per atom
energy above the most stable polymorph in this dataset: 1.33 eV/f.u.
ρ: 4.39 g cm⁻³
calculated total energy: -2.08 eV per atom
density of states at the Fermi level: 3.8 states/eV per cell


A plane-wave DFT calculation with GGA-PBE was carried out for Li3CdPd5 after structural relaxation.

abc: 5.4228 5.4228 10.7852
angles: 97.35 97.35 71.48
Element x y z (fractional)
Li  0.0000  0.0000  0.0000
Li  0.0000  0.0000  0.5000
Li  0.2443  0.2443  0.8775
Li  0.3406  0.3406  0.5131
Li  0.6594  0.6594  0.4869
Li  0.7557  0.7557  0.1225
Cd  0.0539  0.0539  0.2601
Cd  0.9461  0.9461  0.7399
Pd  0.0444  0.5775  0.3236
Pd  0.2667  0.2667  0.1071
Pd  0.3082  0.6918  0.0000
Pd  0.4225  0.9556  0.6764
Pd  0.4596  0.4596  0.7444
Pd  0.5404  0.5404  0.2556
Pd  0.5775  0.0444  0.3236
Pd  0.6918  0.3082  0.0000
Pd  0.7333  0.7333  0.8929
Pd  0.9556  0.4225  0.6764

Calculated values
formation energy: -0.0954 eV per atom
ρ: 7.44 g cm⁻³
calculated total energy: -3.72 eV per atom
density of states at the Fermi level: 8.3 states/eV per cell


A plane-wave DFT calculation with GGA-PBE was carried out for Li12Cd6Pd after structural relaxation.

abc: 7.1228 7.1228 7.1228
angles: 90.93 90.93 90.93
Element x y z (fractional)
Li  0.0282  0.3019  0.9384
Li  0.0616  0.9718  0.6981
Li  0.1352  0.3540  0.4635
Li  0.3019  0.9384  0.0282
Li  0.3540  0.4635  0.1352
Li  0.4635  0.1352  0.3540
Li  0.5365  0.8648  0.6460
Li  0.6460  0.5365  0.8648
Li  0.6981  0.0616  0.9718
Li  0.8648  0.6460  0.5365
Li  0.9384  0.0282  0.3019
Li  0.9718  0.6981  0.0616
Cd  0.2246  0.7676  0.3837
Cd  0.2324  0.6163  0.7754
Cd  0.3837  0.2246  0.7676
Cd  0.6163  0.7754  0.2324
Cd  0.7676  0.3837  0.2246
Cd  0.7754  0.2324  0.6163
Pd  0.5000  0.5000  0.5000

Calculated values
formation energy: -0.2146 eV per atom
ρ: 3.97 g cm⁻³
calculated total energy: -1.99 eV per atom
density of states at the Fermi level: 7.2 states/eV per cell


A plane-wave DFT calculation with GGA-PBE was carried out for Li8CdPd6 after structural relaxation.

abc: 6.7536 6.7536 6.7536
angles: 69.24 69.24 69.24
Element x y z (fractional)
Li  0.0606  0.7045  0.3721
Li  0.1757  0.1757  0.1757
Li  0.2955  0.6279  0.9394
Li  0.3721  0.0606  0.7045
Li  0.6279  0.9394  0.2955
Li  0.7045  0.3721  0.0606
Li  0.8243  0.8243  0.8243
Li  0.9394  0.2955  0.6279
Cd  0.5000  0.5000  0.5000
Pd  0.1169  0.4528  0.8019
Pd  0.1981  0.8831  0.5472
Pd  0.4528  0.8019  0.1169
Pd  0.5472  0.1981  0.8831
Pd  0.8019  0.1169  0.4528
Pd  0.8831  0.5472  0.1981

Calculated values
formation energy: -0.2596 eV per atom
ρ: 5.15 g cm⁻³
calculated total energy: -3.42 eV per atom
density of states at the Fermi level: 4.9 states/eV per cell


A plane-wave DFT calculation with GGA-PBE was carried out for Li2Cd9Pd after structural relaxation.

abc: 8.0143 8.0143 4.4869
angles: 105.20 105.20 109.62
Element x y z (fractional)
Li  0.1760  0.8240  0.0000
Li  0.8240  0.1760  0.0000
Cd  0.0647  0.3936  0.7255
Cd  0.2096  0.2096  0.2008
Cd  0.3408  0.6592  0.5000
Cd  0.3936  0.0647  0.7255
Cd  0.5000  0.5000  0.0000
Cd  0.6064  0.9353  0.2745
Cd  0.6592  0.3408  0.5000
Cd  0.7904  0.7904  0.7992
Cd  0.9353  0.6064  0.2745
Pd  0.0000  0.0000  0.5000

Calculated values
formation energy: -0.1791 eV per atom
ρ: 7.78 g cm⁻³
calculated total energy: -1.62 eV per atom
density of states at the Fermi level: 2.6 states/eV per cell


A plane-wave DFT calculation with GGA-PBE was carried out for Li8Cd3Pd2 after structural relaxation.

abc: 7.8447 7.8447 4.6474
angles: 90.00 90.00 122.24
Element x y z (fractional)
Li  0.1168  0.8832  0.0000
Li  0.1692  0.4338  0.5000
Li  0.3059  0.6941  0.0000
Li  0.4338  0.1692  0.5000
Li  0.5662  0.8308  0.5000
Li  0.6941  0.3059  0.0000
Li  0.8308  0.5662  0.5000
Li  0.8832  0.1168  0.0000
Cd  0.0000  0.0000  0.5000
Cd  0.3104  0.3104  0.0000
Cd  0.6896  0.6896  0.0000
Pd  0.2105  0.7895  0.5000
Pd  0.7895  0.2105  0.5000

Calculated values
formation energy: -0.1869 eV per atom
ρ: 4.16 g cm⁻³
calculated total energy: -2.37 eV per atom
density of states at the Fermi level: 6.2 states/eV per cell


A plane-wave DFT calculation with GGA-PBE was carried out for Li2Cd7Pd after structural relaxation.

abc: 4.6575 4.6575 11.3183
angles: 90.00 90.00 120.00
Element x y z (fractional)
Li  0.0000  0.0000  0.0000
Li  0.3333  0.6667  0.5912
Cd  0.0000  0.0000  0.2550
Cd  0.0000  0.0000  0.7018
Cd  0.3333  0.6667  0.0936
Cd  0.3333  0.6667  0.3541
Cd  0.3333  0.6667  0.8280
Cd  0.6667  0.3333  0.4763
Cd  0.6667  0.3333  0.9384
Pd  0.6667  0.3333  0.1926

Calculated values
formation energy: -0.1193 eV per atom
ρ: 7.08 g cm⁻³
calculated total energy: -1.66 eV per atom
density of states at the Fermi level: 4.4 states/eV per cell


A plane-wave DFT calculation with GGA-PBE was carried out for Li6CdPd8 after structural relaxation.

abc: 6.7763 6.7763 6.7763
angles: 62.14 62.14 62.14
Element x y z (fractional)
Li  0.0267  0.5532  0.7806
Li  0.2194  0.9733  0.4468
Li  0.4468  0.2194  0.9733
Li  0.5532  0.7806  0.0267
Li  0.7806  0.0267  0.5532
Li  0.9733  0.4468  0.2194
Cd  0.5000  0.5000  0.5000
Pd  0.0839  0.0839  0.0839
Pd  0.1603  0.6221  0.3194
Pd  0.3194  0.1603  0.6221
Pd  0.3779  0.6806  0.8397
Pd  0.6221  0.3194  0.1603
Pd  0.6806  0.8397  0.3779
Pd  0.8397  0.3779  0.6806
Pd  0.9161  0.9161  0.9161

Calculated values
formation energy: -0.3041 eV per atom
energy above the most stable polymorph in this dataset: 0.00 eV/f.u.
ρ: 7.24 g cm⁻³
calculated total energy: -3.90 eV per atom
density of states at the Fermi level: 7.0 states/eV per cell